1.
RbNbTl after structural relaxation, computed with GGA-PBE.

Values from the calculation:
The value obtained for the density of states at the Fermi level is 4.25 states/eV per cell. Its energy relative to the lowest polymorph listed for this composition is 552 meV per atom. As for the space-group type: Cm, No. 8. Its formation energy is 0.8026 eV per atom.

Cell: 3.0491 4.8266 13.5600 Å, 90.00 90.08 90.00°
With the nearest neighbours (Å) after each atom.
Fractional positions:
Rb  0.5812  0.0000  0.0130  2 Rb 3.05
Rb  0.5812  0.5000  0.5130  2 Rb 3.05
Nb  0.5748  0.0000  0.7405  4 Tl 2.93, 2 Nb 3.05
Nb  0.5748  0.5000  0.2405  4 Tl 2.93, 2 Nb 3.05
Tl  0.0754  0.0000  0.2887  4 Nb 2.93, 2 Tl 3.05
Tl  0.0754  0.5000  0.7887  4 Nb 2.93, 2 Tl 3.05

=====

2.
NdPdPb after structural relaxation, computed with GGA-PBE.

Values from the calculation:
The value obtained for the density of states at the Fermi level is 2.78 states/eV per cell. As for the space-group type: P2_1/m, No. 11. Its formation energy is -0.6148 eV per atom.

Cell: 4.9437 4.7912 6.6725 Å, 90.00 106.32 90.00°
With the nearest neighbours (Å) after each atom.
Fractional positions:
Nd  0.8962  0.2500  0.7693  4 Pd 2.91-3.05
Nd  0.1038  0.7500  0.2307  4 Pd 2.91-3.05
Pd  0.3144  0.2500  0.5102  3 Pb 2.88-3.02, 4 Nd 2.91-3.05, 2 Pd 3.04
Pd  0.6856  0.7500  0.4898  3 Pb 2.88-3.02, 4 Nd 2.91-3.05, 2 Pd 3.04
Pb  0.6266  0.2500  0.2052  3 Pd 2.88-3.02
Pb  0.3734  0.7500  0.7948  3 Pd 2.88-3.02

=====

3.
CaTb3H after structural relaxation, computed with GGA-PBE.

Values from the calculation:
The value obtained for the density of states at the Fermi level is 6.17 states/eV per cell. The total energy comes out at -19.6 eV per cell. As for the space-group type: Pm-3m, No. 221.

Cell: 5.0699 5.0699 5.0699 Å, 90.00 90.00 90.00°
With the nearest neighbours (Å) after each atom.
Fractional positions:
H  0.0000  0.0000  0.0000  6 Tb 2.53
Ca  0.5000  0.5000  0.5000  12 Tb 3.58
Tb  0.0000  0.5000  0.0000  2 H 2.53
Tb  0.0000  0.0000  0.5000  2 H 2.53
Tb  0.5000  0.0000  0.0000  2 H 2.53